(1)
The following is a meta-GGA SCAN calculation of a PBEsol-optimized structure of TeRu, from Alexandria. Values from VASP.

```
&SYSTEM
  ibrav = 0, nat = 4, ntyp = 2
/
ATOMIC_SPECIES
Ru 101.07 Ru.upf
Te 127.60 Te.upf
CELL_PARAMETERS angstrom
-1.704 2.605 0.619
-1.235 -1.770 4.046
3.945 2.079 2.113
ATOMIC_POSITIONS crystal
Ru 0.000 0.250 0.310
Ru 0.000 0.750 0.690
Te 0.500 0.250 0.755
Te 0.500 0.750 0.245
```

- energy relative to the elements, uncorrected (eV/atom) = 0.35


(2)
The following is a meta-GGA SCAN calculation of a PBEsol-optimized structure of YMg2Rh, from Alexandria. Values from VASP.

```
&SYSTEM
  ibrav = 0, nat = 4, ntyp = 3
/
ATOMIC_SPECIES
Mg 24.30 Mg.upf
Rh 102.91 Rh.upf
Y 88.91 Y.upf
CELL_PARAMETERS angstrom
-1.119 4.129 2.097
-3.993 2.290 -1.229
-3.659 0.211 3.044
ATOMIC_POSITIONS crystal
Mg 0.750 0.750 0.750
Mg 0.250 0.250 0.250
Rh 0.000 0.000 0.000
Y 0.500 0.500 0.500
```

- formation enthalpy at 0 K (meV/atom) = -262


(3)
The following is a meta-GGA SCAN calculation of a PBEsol-optimized structure of BaLaGa3, from Alexandria. Values from VASP.

```
&SYSTEM
  ibrav = 0, nat = 5, ntyp = 3
/
ATOMIC_SPECIES
Ba 137.33 Ba.upf
Ga 69.72 Ga.upf
La 138.91 La.upf
CELL_PARAMETERS angstrom
-4.576 1.976 2.340
0.415 -3.768 3.993
3.034 3.495 2.982
ATOMIC_POSITIONS crystal
Ba 0.000 0.000 0.000
Ga 0.000 0.500 0.000
Ga 0.000 0.000 0.500
Ga 0.500 0.000 0.000
La 0.500 0.500 0.500
```

- formation enthalpy at 0 K (meV/atom) = 654


(4)
The following is a meta-GGA SCAN calculation of a PBEsol-optimized structure of LaMgTe2, from Alexandria. Values from VASP.

```
&SYSTEM
  ibrav = 0, nat = 4, ntyp = 3
/
ATOMIC_SPECIES
La 138.91 La.upf
Mg 24.30 Mg.upf
Te 127.60 Te.upf
CELL_PARAMETERS angstrom
4.424 0.000 0.000
0.000 4.424 0.000
-2.212 -2.212 5.725
ATOMIC_POSITIONS crystal
La 0.500 0.500 0.000
Mg 0.250 0.750 0.500
Te 0.000 0.000 0.000
Te 0.750 0.250 0.500
```

- energy relative to the elements, uncorrected (eV/atom) = -1.01


Number 1: total energy -35.693 eV/atom. Number 2: total energy -18.153 eV/atom. Number 3: total energy -25.685 eV/atom. Number 4: total energy -31.655 eV/atom.